Entry from Alexandria via LeMat-Bulk: a relaxed structure of LaMgTlSn (PBE-GGA).

Results
- Electronic total energy: -3.680 eV/atom
- DOS at the Fermi energy: 0.435 states/eV per atom
- V: 27.63 Å³ per atom
- Calculated density: 7.3 g/cm³
- Energy of formation: -1.83 eV/f.u.

a b c (Å): 4.578 4.824 5.004
angles (deg): 90.00 90.00 90.00
Space group Pmmm (No. 47)
Inequivalent atoms, fractional coordinates:
La 0.000 0.000 0.000 (multiplicity 1)
Mg 0.000 0.500 0.500 (multiplicity 1)
Tl 0.500 0.000 0.500 (multiplicity 1)
Sn 0.500 0.500 0.000 (multiplicity 1)

=====

Entry from Alexandria via LeMat-Bulk: a relaxed structure of LaTmMgSn (PBE-GGA).

Results
- Electronic total energy: -4.158 eV/atom
- DOS at the Fermi energy: 0.650 states/eV per atom
- V: 27.76 Å³ per atom
- Calculated density: 6.7 g/cm³
- Energy of formation: -1.63 eV/f.u.

a b c (Å): 7.630 7.630 7.630
angles (deg): 90.00 90.00 90.00
Space group F-43m (No. 216)
Inequivalent atoms, fractional coordinates:
La 0.000 0.000 0.000 (multiplicity 4)
Tm 0.000 0.000 0.500 (multiplicity 4)
Mg 0.250 0.250 0.250 (multiplicity 4)
Sn 0.250 0.250 0.750 (multiplicity 4)

=====

Entry from Alexandria via LeMat-Bulk: a relaxed structure of LaMg2Zn2Sn2 (PBE-GGA).

Results
- Electronic total energy: -2.971 eV/atom
- DOS at the Fermi energy: 0.381 states/eV per atom
- V: 23.32 Å³ per atom
- Calculated density: 5.7 g/cm³
- Energy of formation: -2.12 eV/f.u.

a b c (Å): 4.7701 4.7701 24.8470
angles (deg): 90.00 90.00 120.00
Space group R-3m (No. 166, hexagonal axes)
Inequivalent atoms, fractional coordinates:
La 0.0000 0.0000 0.0000 (multiplicity 3)
Mg 0.0000 0.0000 0.1378 (multiplicity 6)
Zn 0.0000 0.0000 0.4453 (multiplicity 6)
Sn 0.0000 0.0000 0.2567 (multiplicity 6)

=====

Entry from Alexandria via LeMat-Bulk: a relaxed structure of SrLa2Mg (PBE-GGA).

Results
- Electronic total energy: -3.258 eV/atom
- DOS at the Fermi energy: 1.098 states/eV per atom
- V: 38.32 Å³ per atom
- Calculated density: 4.2 g/cm³
- Energy of formation: 0.10 eV/f.u.

a b c (Å): 4.040 4.040 9.392
angles (deg): 90.00 90.00 90.00
Space group P4/mmm (No. 123)
Inequivalent atoms, fractional coordinates:
Sr 0.000 0.000 0.000 (multiplicity 1)
La 0.500 0.500 0.305 (multiplicity 2)
Mg 0.000 0.000 0.500 (multiplicity 1)

=====

Entry from Alexandria via LeMat-Bulk: a relaxed structure of Sr2LaMg (PBE-GGA).

Results
- Electronic total energy: -2.459 eV/atom
- DOS at the Fermi energy: 1.190 states/eV per atom
- V: 41.74 Å³ per atom
- Calculated density: 3.4 g/cm³
- Energy of formation: 0.05 eV/f.u.

a b c (Å): 4.032 4.032 10.270
angles (deg): 90.00 90.00 90.00
Space group P4mm (No. 99)
Inequivalent atoms, fractional coordinates:
Sr 0.000 0.000 0.000 (multiplicity 1)
Sr 0.500 0.500 0.320 (multiplicity 1)
La 0.000 0.000 0.603 (multiplicity 1)
Mg 0.500 0.500 0.785 (multiplicity 1)

=====

Entry from Alexandria via LeMat-Bulk: a relaxed structure of Sr2LaMg (PBE-GGA).

Results
- Electronic total energy: -2.390 eV/atom
- DOS at the Fermi energy: 1.375 states/eV per atom
- V: 40.56 Å³ per atom
- Calculated density: 3.5 g/cm³
- Energy of formation: 0.33 eV/f.u.

a b c (Å): 3.897 3.897 10.686
angles (deg): 90.00 90.00 90.00
Space group P4/mmm (No. 123)
Inequivalent atoms, fractional coordinates:
Sr 0.000 0.000 0.220 (multiplicity 2)
La 0.500 0.500 0.500 (multiplicity 1)
Mg 0.500 0.500 0.000 (multiplicity 1)

=====

Entry from Alexandria via LeMat-Bulk: a relaxed structure of SrLaMg6 (PBE-GGA).

Results
- Electronic total energy: -2.070 eV/atom
- DOS at the Fermi energy: 0.928 states/eV per atom
- V: 28.69 Å³ per atom
- Calculated density: 2.7 g/cm³
- Energy of formation: -0.38 eV/f.u.

a b c (Å): 5.285 7.339 11.833
angles (deg): 90.00 90.00 90.00
Space group Amm2 (No. 38)
Inequivalent atoms, fractional coordinates:
Sr 0.000 0.000 0.000 (multiplicity 2)
La 0.500 0.000 0.702 (multiplicity 2)
Mg 0.000 0.000 0.520 (multiplicity 2)
Mg 0.000 0.220 0.263 (multiplicity 4)
Mg 0.500 0.000 0.193 (multiplicity 2)
Mg 0.500 0.212 0.438 (multiplicity 4)

=====

Entry from Alexandria via LeMat-Bulk: a relaxed structure of SrLa2Mg (PBE-GGA).

Results
- Electronic total energy: -3.175 eV/atom
- DOS at the Fermi energy: 1.609 states/eV per atom
- V: 36.16 Å³ per atom
- Calculated density: 4.5 g/cm³
- Energy of formation: 0.43 eV/f.u.

a b c (Å): 5.206 5.206 10.672
angles (deg): 90.00 90.00 90.00
Space group I4/mmm (No. 139)
Inequivalent atoms, fractional coordinates:
Sr 0.000 0.000 0.000 (multiplicity 2)
La 0.000 0.500 0.250 (multiplicity 4)
Mg 0.000 0.000 0.500 (multiplicity 2)

=====

Entry from Alexandria via LeMat-Bulk: a relaxed structure of SrLa2Mg (PBE-GGA).

Results
- Electronic total energy: -3.279 eV/atom
- DOS at the Fermi energy: 1.374 states/eV per atom
- V: 37.51 Å³ per atom
- Calculated density: 4.3 g/cm³
- Energy of formation: 0.01 eV/f.u.

a b c (Å): 3.876 3.876 9.986
angles (deg): 90.00 90.00 90.00
Space group P4mm (No. 99)
Inequivalent atoms, fractional coordinates:
Sr 0.000 0.000 0.000 (multiplicity 1)
La 0.000 0.000 0.552 (multiplicity 1)
La 0.500 0.500 0.309 (multiplicity 1)
Mg 0.500 0.500 0.763 (multiplicity 1)

=====

Entry from Alexandria via LeMat-Bulk: a relaxed structure of SrLa2Mg (PBE-GGA).

Results
- Electronic total energy: -3.203 eV/atom
- DOS at the Fermi energy: 1.213 states/eV per atom
- V: 37.78 Å³ per atom
- Calculated density: 4.3 g/cm³
- Energy of formation: 0.32 eV/f.u.

a b c (Å): 3.8080 3.8080 36.0968
angles (deg): 90.00 90.00 120.00
Space group R3m (No. 160, hexagonal axes)
Inequivalent atoms, fractional coordinates:
Sr 0.0000 0.0000 0.0000 (multiplicity 3)
La 0.0000 0.0000 0.5094 (multiplicity 3)
La 0.0000 0.0000 0.7623 (multiplicity 3)
Mg 0.0000 0.0000 0.2532 (multiplicity 3)

=====

Entry from Alexandria via LeMat-Bulk: a relaxed structure of Sr2LaMg (PBE-GGA).

Results
- Electronic total energy: -2.144 eV/atom
- DOS at the Fermi energy: 2.160 states/eV per atom
- V: 42.04 Å³ per atom
- Calculated density: 3.3 g/cm³
- Energy of formation: 1.31 eV/f.u.

a b c (Å): 9.617 9.617 7.274
angles (deg): 90.00 90.00 90.00
Space group I-42d (No. 122)
Inequivalent atoms, fractional coordinates:
Sr 0.217 0.250 0.125 (multiplicity 8)
La 0.000 0.000 0.500 (multiplicity 4)
Mg 0.000 0.000 0.000 (multiplicity 4)

=====

Entry from Alexandria via LeMat-Bulk: a relaxed structure of SrLa2Mg (PBE-GGA).

Results
- Electronic total energy: -3.177 eV/atom
- DOS at the Fermi energy: 0.900 states/eV per atom
- V: 36.85 Å³ per atom
- Calculated density: 4.4 g/cm³
- Energy of formation: 0.42 eV/f.u.

a b c (Å): 8.080 8.093 4.508
angles (deg): 90.00 90.00 90.00
Space group Cmmm (No. 65)
Inequivalent atoms, fractional coordinates:
Sr 0.000 0.000 0.000 (multiplicity 2)
La 0.250 0.250 0.500 (multiplicity 4)
Mg 0.000 0.500 0.000 (multiplicity 2)

=====

Entry from Alexandria via LeMat-Bulk: a relaxed structure of SrLaMg (PBE-GGA).

Results
- Electronic total energy: -2.724 eV/atom
- DOS at the Fermi energy: 1.234 states/eV per atom
- V: 37.72 Å³ per atom
- Calculated density: 3.7 g/cm³
- Energy of formation: 0.03 eV/f.u.

a b c (Å): 3.989 3.989 14.225
angles (deg): 90.00 90.00 90.00
Space group I4mm (No. 107)
Inequivalent atoms, fractional coordinates:
Sr 0.000 0.000 0.000 (multiplicity 2)
La 0.000 0.000 0.711 (multiplicity 2)
Mg 0.000 0.000 0.344 (multiplicity 2)

=====

Entry from Alexandria via LeMat-Bulk: a relaxed structure of Sr2LaMg (PBE-GGA).

Results
- Electronic total energy: -2.328 eV/atom
- DOS at the Fermi energy: 1.492 states/eV per atom
- V: 41.68 Å³ per atom
- Calculated density: 3.4 g/cm³
- Energy of formation: 0.57 eV/f.u.

a b c (Å): 3.9557 3.9557 36.9097
angles (deg): 90.00 90.00 120.00
Space group R-3m (No. 166, hexagonal axes)
Inequivalent atoms, fractional coordinates:
Sr 0.0000 0.0000 0.2434 (multiplicity 6)
La 0.0000 0.0000 0.0000 (multiplicity 3)
Mg 0.0000 0.0000 0.5000 (multiplicity 3)

=====

Entry from Alexandria via LeMat-Bulk: a relaxed structure of SrLa2Mg (PBE-GGA).

Results
- Electronic total energy: -3.235 eV/atom
- DOS at the Fermi energy: 1.203 states/eV per atom
- V: 36.99 Å³ per atom
- Calculated density: 4.4 g/cm³
- Energy of formation: 0.19 eV/f.u.

a b c (Å): 3.857 4.834 7.936
angles (deg): 90.00 90.03 90.00
Space group Pm (No. 6)
Inequivalent atoms, fractional coordinates:
Sr 0.000 0.000 0.000 (multiplicity 1)
La 0.498 0.500 0.318 (multiplicity 1)
La 0.999 0.000 0.514 (multiplicity 1)
Mg 0.500 0.500 0.744 (multiplicity 1)

=====

Entry from Alexandria via LeMat-Bulk: a relaxed structure of Sr2LaMg (PBE-GGA).

Results
- Electronic total energy: -2.383 eV/atom
- DOS at the Fermi energy: 1.539 states/eV per atom
- V: 41.09 Å³ per atom
- Calculated density: 3.4 g/cm³
- Energy of formation: 0.35 eV/f.u.

a b c (Å): 14.215 4.132 6.215
angles (deg): 90.00 115.79 90.00
Space group Cm (No. 8)
Inequivalent atoms, fractional coordinates:
Sr 0.000 0.000 0.000 (multiplicity 2)
Sr 0.221 0.000 0.723 (multiplicity 2)
La 0.436 0.000 0.436 (multiplicity 2)
Mg 0.227 0.500 0.230 (multiplicity 2)

=====

Entry from Alexandria via LeMat-Bulk: a relaxed structure of Sr2LaMg (PBE-GGA).

Results
- Electronic total energy: -2.317 eV/atom
- DOS at the Fermi energy: 1.694 states/eV per atom
- V: 40.62 Å³ per atom
- Calculated density: 3.5 g/cm³
- Energy of formation: 0.62 eV/f.u.

a b c (Å): 5.330 5.330 11.438
angles (deg): 90.00 90.00 90.00
Space group I4/mmm (No. 139)
Inequivalent atoms, fractional coordinates:
Sr 0.000 0.500 0.250 (multiplicity 4)
La 0.000 0.000 0.000 (multiplicity 2)
Mg 0.000 0.000 0.500 (multiplicity 2)

=====

Entry from Alexandria via LeMat-Bulk: a relaxed structure of SrLa2Mg (PBE-GGA).

Results
- Electronic total energy: -3.203 eV/atom
- DOS at the Fermi energy: 1.341 states/eV per atom
- V: 36.91 Å³ per atom
- Calculated density: 4.4 g/cm³
- Energy of formation: 0.32 eV/f.u.

a b c (Å): 4.163 5.919 11.982
angles (deg): 90.00 90.00 90.00
Space group Imm2 (No. 44)
Inequivalent atoms, fractional coordinates:
Sr 0.000 0.000 0.000 (multiplicity 2)
La 0.000 0.000 0.543 (multiplicity 2)
La 0.000 0.500 0.775 (multiplicity 2)
Mg 0.000 0.500 0.268 (multiplicity 2)

=====

Entry from Alexandria via LeMat-Bulk: a relaxed structure of Sr2LaMg9 (PBE-GGA).

Results
- Electronic total energy: -1.959 eV/atom
- DOS at the Fermi energy: 0.956 states/eV per atom
- V: 28.81 Å³ per atom
- Calculated density: 2.6 g/cm³
- Energy of formation: -0.87 eV/f.u.

a b c (Å): 6.2698 6.2698 30.4630
angles (deg): 90.00 90.00 120.00
Space group R-3m (No. 166, hexagonal axes)
Inequivalent atoms, fractional coordinates:
Sr 0.0000 0.0000 0.1417 (multiplicity 6)
La 0.0000 0.0000 0.0000 (multiplicity 3)
Mg 0.0000 0.0000 0.3338 (multiplicity 6)
Mg 0.0000 0.0000 0.5000 (multiplicity 3)
Mg 0.0013 0.5006 0.9192 (multiplicity 18)

=====

Entry from Alexandria via LeMat-Bulk: a relaxed structure of SrLa2Mg (PBE-GGA).

Results
- Electronic total energy: -3.172 eV/atom
- DOS at the Fermi energy: 1.355 states/eV per atom
- V: 37.95 Å³ per atom
- Calculated density: 4.3 g/cm³
- Energy of formation: 0.44 eV/f.u.

a b c (Å): 3.7904 3.7904 36.6021
angles (deg): 90.00 90.00 120.00
Space group R-3m (No. 166, hexagonal axes)
Inequivalent atoms, fractional coordinates:
Sr 0.0000 0.0000 0.0000 (multiplicity 3)
La 0.0000 0.0000 0.2395 (multiplicity 6)
Mg 0.0000 0.0000 0.5000 (multiplicity 3)